1.
# YHo2Ga

YHo2Ga after structural relaxation (PBE, Alexandria).

POSCAR file:
```
YHo2Ga
1.0
3.519 0.000 0.000
0.000 3.519 0.000
0.000 0.000 8.884
Y Ho Ga
1 2 1
direct
0.000 0.000 0.000
0.500 0.500 0.293
0.500 0.500 0.707
0.000 0.000 0.500
```

**Total magnetic moment**: 0.00 μB per formula unit
**Distance to the lowest polymorph of the same formula**: 0 meV per atom
**ΔH_f (0 K)**: -0.282 eV per atom
**Energy**: -4.94 eV/atom

2.
# KLaPd2

KLaPd2 after structural relaxation (PBE, Alexandria).

POSCAR file:
```
KLaPd2
1.0
-4.027 4.027 3.256
4.027 -4.027 3.256
4.027 4.027 -3.256
K La Pd
2 2 4
direct
0.000 0.000 0.000
0.750 0.250 0.500
0.250 0.750 0.500
0.500 0.500 0.000
0.151 0.125 0.526
0.375 0.849 0.974
0.599 0.625 0.474
0.875 0.401 0.026
```

**Total magnetic moment**: 0.00 μB per formula unit
**Distance to the lowest polymorph of the same formula**: 128 meV per atom
**ΔH_f (0 K)**: -0.146 eV per atom
**Energy**: -4.25 eV/atom

3.
# BiSbTe3

BiSbTe3 after structural relaxation (PBE, Alexandria).

POSCAR file:
```
BiSbTe3
1.0
7.606 0.000 0.000
0.000 4.354 0.000
-2.358 0.000 11.276
Bi Sb Te
2 2 6
direct
0.133 0.250 0.146
0.867 0.750 0.854
0.266 0.250 0.501
0.734 0.750 0.499
0.036 0.750 0.337
0.255 0.750 0.990
0.470 0.750 0.659
0.530 0.250 0.341
0.745 0.250 0.010
0.964 0.250 0.663
```

**Total magnetic moment**: 0.00 μB per formula unit
**Energy relative to the elements, uncorrected**: -0.156 eV per atom
**Distance to the lowest polymorph of the same formula**: 25 meV per atom
**Energy**: -3.64 eV/atom

4.
# Sn3HgSe3

Sn3HgSe3 after structural relaxation (PBE, Alexandria).

POSCAR file:
```
Sn3HgSe3
1.0
8.200 0.000 0.000
0.000 8.200 0.000
0.000 0.000 8.200
Sn Hg Se
6 2 6
direct
0.000 0.250 0.500
0.000 0.750 0.500
0.250 0.500 0.000
0.500 0.000 0.250
0.500 0.000 0.750
0.750 0.500 0.000
0.000 0.000 0.000
0.500 0.500 0.500
0.000 0.500 0.250
0.000 0.500 0.750
0.250 0.000 0.500
0.500 0.250 0.000
0.500 0.750 0.000
0.750 0.000 0.500
```

**Total magnetic moment**: 0.00 μB per formula unit
**Energy relative to the elements, uncorrected**: -0.170 eV per atom
**Distance to the lowest polymorph of the same formula**: 119 meV per atom
**Energy**: -3.42 eV/atom

5.
# NbAlGa

NbAlGa after structural relaxation (PBE, Alexandria).

POSCAR file:
```
NbAlGa
1.0
-1.457 2.667 6.507
1.457 -2.667 6.507
1.457 2.667 -6.507
Nb Al Ga
2 2 2
direct
0.171 0.171 0.000
0.829 0.829 0.000
0.351 0.851 0.500
0.649 0.149 0.500
0.238 0.500 0.738
0.762 0.500 0.262
```

**Total magnetic moment**: 0.00 μB per formula unit
**ΔH_f (0 K)**: -0.090 eV per atom
**Energy**: -5.70 eV/atom

6.
# CaCuRh2C

CaCuRh2C after structural relaxation (PBE, Alexandria).

POSCAR file:
```
CaCuRh2C
1.0
4.142 0.000 0.000
0.000 4.142 0.000
0.000 0.000 4.166
Ca Cu Rh C
1 1 2 1
direct
0.000 0.000 0.000
0.500 0.500 0.000
0.000 0.500 0.500
0.500 0.000 0.500
0.500 0.500 0.500
```

**Total magnetic moment**: 0.00 μB per formula unit
**ΔH_f (0 K)**: -0.116 eV per atom
**Energy**: -6.12 eV/atom